## AcMnPtO6 (GGA+U)

Data for a relaxed structure of AcMnPtO6.

Cell lengths 5.203, 5.203, 5.379 Å; angles 90.00, 90.00, 120.00 degrees
Element x y z (fractional)
Ac 0.000 0.000 0.000
Mn 0.333 0.667 0.500
Pt 0.667 0.333 0.500
O 0.010 0.378 0.703
O 0.010 0.632 0.297
O 0.368 0.378 0.297
O 0.368 0.990 0.703
O 0.622 0.632 0.703
O 0.622 0.990 0.297

Output
Spin magnetization (μB/atom): 0.22
VASP energy (Ry/atom): -0.5057
N(E_F) (states/eV per atom): 0.6131